A plane-wave DFT calculation with GGA-PBE was carried out for a relaxed Pm6Tl5Cu crystal. Values from VASP.

```
&SYSTEM
  ibrav = 0, nat = 12, ntyp = 3
/
ATOMIC_SPECIES
Tl 204.38 Tl.upf
Pm 145.00 Pm.upf
Cu 63.55 Cu.upf
CELL_PARAMETERS angstrom
-3.015 -0.753 4.474
0.138 -7.602 -1.185
5.286 -0.951 6.717
ATOMIC_POSITIONS angstrom
Tl 0.749 -0.567 3.725
Tl 1.523 -1.137 7.467
Tl 0.069 -3.801 -0.593
Tl 1.554 -4.934 6.849
Tl 0.856 -4.372 3.158
Pm 3.137 -2.611 4.991
Pm -1.402 -6.171 1.334
Pm 3.209 -6.525 4.380
Pm -0.799 -2.781 5.626
Pm -0.728 -6.695 5.016
Pm -1.474 -2.183 1.955
Cu 0.000 0.000 0.000
```

* uncorrected energy: -48.32 eV per formula unit
* M_tot: 0.002 μB per formula unit
* formation enthalpy at 0 K: -0.3238 eV per atom
* symmetry: No. 65